A plane-wave DFT calculation with PBE was carried out for TbTlS3 after structural relaxation.

Cell lengths 3.9308, 8.7307, 7.5869 Å; angles 104.11, 90.00, 90.00 degrees
With the nearest neighbours (Å) after each atom.
Element x y z (fractional)
1 Tl 0.2500 0.7921 0.2996  2 S 2.45-2.49
2 Tl 0.7500 0.2079 0.7004  2 S 2.45-2.49
3 S 0.2500 0.4340 0.6601  3 Tb 2.84-2.86, 2 Tl 2.85
4 S 0.7500 0.1953 0.0192  1 Tl 2.45
5 S 0.7500 0.5660 0.3399  3 Tb 2.84-2.86, 2 Tl 2.85
6 S 0.2500 0.8795 0.6372  1 Tl 2.49
7 S 0.7500 0.1205 0.3628  1 Tl 2.49
8 S 0.2500 0.8047 0.9808  1 Tl 2.45
9 Tb 0.2500 0.3240 0.2728  7 S 2.79-2.86
10 Tb 0.7500 0.6760 0.7272  7 S 2.79-2.86

Properties
The value obtained for the total energy is -4.887 eV/atom. As for the magnetic moment: 0.000 μB per formula unit. As for the space group: P2_1/m (11).

---

A plane-wave DFT calculation with PBE was carried out for Tb3TlS after structural relaxation.

Cell lengths 5.1979, 5.1979, 5.1979 Å; angles 90.00, 90.00, 90.00 degrees
With the nearest neighbours (Å) after each atom.
Element x y z (fractional)
1 Tb 0.5000 0.0000 0.0000  2 S 2.60
2 Tb 0.0000 0.5000 0.0000  2 S 2.60
3 Tb 0.0000 0.0000 0.5000  2 S 2.60
4 S 0.0000 0.0000 0.0000  6 Tb 2.60
5 Tl 0.5000 0.5000 0.5000  12 Tb 3.68

Properties
As for the offset from the most stable computed form: 0.1522 eV per atom. The value obtained for the total energy is -4.912 eV/atom. As for the magnetic moment: 0.000 μB per formula unit. As for the space group: Pm-3m (221).

---

A plane-wave DFT calculation with PBE was carried out for TbTm2Tl3S6 after structural relaxation.

Cell lengths 6.9294, 6.9294, 7.8713 Å; angles 98.44, 98.44, 120.00 degrees
With the nearest neighbours (Å) after each atom.
Element x y z (fractional)
1 Tb 0.0000 0.0000 0.0000  6 S 2.77
2 Tl 0.5000 0.5000 0.5000  6 S 3.23-3.26
3 Tl 0.8339 0.1661 0.5000  6 S 3.23-3.26
4 Tl 0.1661 0.8339 0.5000  6 S 3.23-3.26
5 S 0.5965 0.9345 0.8035  2 Tm 2.73, 1 Tb 2.77
6 S 0.2727 0.2727 0.8044  2 Tm 2.73, 1 Tb 2.77
7 S 0.4035 0.0655 0.1965  2 Tm 2.73, 1 Tb 2.77
8 S 0.7273 0.7273 0.1956  2 Tm 2.73, 1 Tb 2.77
9 S 0.0655 0.4035 0.1965  2 Tm 2.73, 1 Tb 2.77
10 S 0.9345 0.5965 0.8035  2 Tm 2.73, 1 Tb 2.77
11 Tm 0.6666 0.3334 0.0000  6 S 2.73
12 Tm 0.3334 0.6666 0.0000  6 S 2.73

Properties
The value obtained for the total energy is -5.275 eV/atom. As for the magnetic moment: 0.000 μB per formula unit. As for the space group: C2/m (12).